The following is a DFT calculation (GGA-PBE) of Dy3ZnO6 after structural relaxation.

Properties
The value obtained for the raw formation energy is -2.89 eV per atom. For the final energy, the calculation gives -73.7 eV/f.u.

Lattice parameters (Å, degrees): 7.134 7.134 5.466 90.00 90.00 102.32
Fractional positions:
Dy1 0.104 0.896 0.500
Dy2 0.200 0.415 0.449
Dy3 0.415 0.200 0.949
Dy4 0.585 0.800 0.449
Dy5 0.800 0.585 0.949
Dy6 0.896 0.104 0.000
Zn1 0.308 0.692 0.925
Zn2 0.692 0.308 0.425
O1 0.072 0.603 0.727
O2 0.143 0.177 0.724
O3 0.177 0.143 0.224
O4 0.283 0.717 0.272
O5 0.397 0.928 0.727
O6 0.468 0.532 0.751
O7 0.532 0.468 0.251
O8 0.603 0.072 0.227
O9 0.717 0.283 0.772
O10 0.823 0.857 0.724
O11 0.857 0.823 0.224
O12 0.928 0.397 0.227